A plane-wave DFT calculation with PBE was carried out for a relaxed K2HfF6 crystal.

Computed properties:
**E_tot**: -6.05 eV per atom
**Formation energy (no corrections)**: -31.043 eV per formula unit

Unit cell a=6.5377 b=6.5377 c=8.8603 alpha=90.00 beta=90.00 gamma=90.00
Space group P4/mnc (No. 128)
Unique sites:
K (0.0000, 0.5000, 0.2500)
Hf (0.0000, 0.0000, 0.0000)
F (0.0000, 0.0000, 0.2261)
F (0.1035, 0.2897, 0.0000)

=====

A plane-wave DFT calculation with PBE was carried out for a relaxed BeAgSb crystal.

Computed properties:
**E_tot**: -3.39 eV per atom
**Formation energy (no corrections)**: 0.519 eV per formula unit

Unit cell a=3.8003 b=4.5868 c=6.6701 alpha=81.25 beta=73.59 gamma=89.97
Space group P-1 (No. 2)
Unique sites:
Be (0.0000, 0.0000, 0.0000)
Be (0.0000, 0.5000, 0.0000)
Ag (0.1763, 0.3242, 0.6486)
Sb (0.3889, 0.2010, 0.2240)

=====

A plane-wave DFT calculation with PBE was carried out for a relaxed HRuS crystal.

Computed properties:
**E_tot**: -5.58 eV per atom

Unit cell a=4.4268 b=5.5476 c=6.2844 alpha=90.00 beta=115.56 gamma=90.00
Space group P2_1/c (No. 14)
Unique sites:
H (0.1427, 0.0838, 0.3919)
Ru (0.1065, 0.2273, 0.6316)
S (0.3827, 0.5683, 0.6080)

=====

The evaluated total magnetic moment for the records listed, in turn: 0.32 0.00 0.00 Bohr magnetons per cell.